{"formula": "NbMoRh2C", "functional": "PBE", "state": "optimized geometry", "magnetic_moment_mub_per_fu": 0.00, "ef_ev_per_fu": 0.47, "energy_ev_per_cell": -44.36, "spacegroup": "P4/mmm (123)", "vol_a3_per_cell": 70, "cell": [[4.031, 0.000, 0.000], [0.000, 4.334, 0.000], [0.000, 0.000, 4.031]], "species": ["Nb", "C", "Rh", "Rh", "Mo"], "fractional_positions": [[0.000, 0.500, 0.000], [0.000, 0.000, 0.000], [0.500, 0.000, 0.000], [0.000, 0.000, 0.500], [0.500, 0.500, 0.500]]}

{"formula": "CdFePb2", "functional": "PBE", "state": "optimized geometry", "magnetic_moment_mub_per_fu": 3.11, "ef_ev_per_fu": 2.35, "energy_ev_per_cell": -28.90, "spacegroup": "I-42d (122)", "vol_a3_per_cell": 210, "cell": [[-3.625, 1.211, 2.638], [-0.774, -4.471, 0.989], [3.659, -0.935, 9.546]], "species": ["Cd", "Cd", "Fe", "Fe", "Pb", "Pb", "Pb", "Pb"], "fractional_positions": [[0.000, 0.000, 0.000], [0.750, 0.250, 0.500], [0.250, 0.750, 0.500], [0.500, 0.500, 0.000], [0.147, 0.625, 0.250], [0.875, 0.853, 0.750], [0.603, 0.125, 0.250], [0.375, 0.397, 0.750]]}

{"formula": "BeNiW", "functional": "PBE", "state": "optimized geometry", "de_polymorph_mev_per_atom": 105.1, "magnetic_moment_mub_per_fu": 0.00, "ef_ev_per_fu": -0.41, "energy_ev_per_cell": -22.87, "spacegroup": "I4mm (107)", "vol_a3_per_cell": 34, "cell": [[-1.013, -4.821, 1.587], [-1.296, -4.895, -1.071], [2.328, -1.301, -0.211]], "species": ["W", "Ni", "Be"], "fractional_positions": [[0.339, 0.339, 0.661], [0.644, 0.644, 0.356], [0.018, 0.018, 0.982]]}

{"formula": "CsLi3Hg4Br12", "functional": "PBE", "state": "optimized geometry", "magnetic_moment_mub_per_fu": 0.00, "energy_ev_per_cell": -45.10, "spacegroup": "R32 (155)", "vol_a3_per_cell": 705, "cell": [[-2.013, -9.010, -2.199], [9.447, 0.740, 0.522], [-3.449, 1.628, 8.691]], "species": ["Hg", "Hg", "Hg", "Hg", "Br", "Br", "Br", "Br", "Br", "Br", "Br", "Br", "Br", "Br", "Br", "Br", "Li", "Li", "Li", "Cs"], "fractional_positions": [[0.500, 0.500, 0.500], [0.500, 0.937, 0.063], [0.063, 0.500, 0.937], [0.937, 0.063, 0.500], [0.933, 0.238, 0.335], [0.331, 0.669, 0.500], [0.894, 0.500, 0.106], [0.067, 0.665, 0.762], [0.238, 0.335, 0.933], [0.669, 0.500, 0.331], [0.335, 0.933, 0.238], [0.500, 0.331, 0.669], [0.665, 0.762, 0.067], [0.762, 0.067, 0.665], [0.500, 0.106, 0.894], [0.106, 0.894, 0.500], [0.000, 0.557, 0.443], [0.557, 0.443, 0.000], [0.443, 0.000, 0.557], [0.000, 0.000, 0.000]]}

{"formula": "AcHoTlPb", "functional": "PBE", "state": "optimized geometry", "magnetic_moment_mub_per_fu": 0.00, "ef_ev_per_fu": -1.40, "energy_ev_per_cell": -16.16, "spacegroup": "F-43m (216)", "vol_a3_per_cell": 127, "cell": [[-2.517, -3.621, 3.520], [-1.342, -5.187, -1.772], [2.836, -4.470, 1.953]], "species": ["Ho", "Ac", "Tl", "Pb"], "fractional_positions": [[0.250, 0.250, 0.250], [0.750, 0.750, 0.750], [0.000, 0.000, 0.000], [0.500, 0.500, 0.500]]}

Repeat the fourth record exactly.
{"formula": "CsLi3Hg4Br12", "functional": "PBE", "state": "optimized geometry", "magnetic_moment_mub_per_fu": 0.00, "energy_ev_per_cell": -45.10, "spacegroup": "R32 (155)", "vol_a3_per_cell": 705, "cell": [[-2.013, -9.010, -2.199], [9.447, 0.740, 0.522], [-3.449, 1.628, 8.691]], "species": ["Hg", "Hg", "Hg", "Hg", "Br", "Br", "Br", "Br", "Br", "Br", "Br", "Br", "Br", "Br", "Br", "Br", "Li", "Li", "Li", "Cs"], "fractional_positions": [[0.500, 0.500, 0.500], [0.500, 0.937, 0.063], [0.063, 0.500, 0.937], [0.937, 0.063, 0.500], [0.933, 0.238, 0.335], [0.331, 0.669, 0.500], [0.894, 0.500, 0.106], [0.067, 0.665, 0.762], [0.238, 0.335, 0.933], [0.669, 0.500, 0.331], [0.335, 0.933, 0.238], [0.500, 0.331, 0.669], [0.665, 0.762, 0.067], [0.762, 0.067, 0.665], [0.500, 0.106, 0.894], [0.106, 0.894, 0.500], [0.000, 0.557, 0.443], [0.557, 0.443, 0.000], [0.443, 0.000, 0.557], [0.000, 0.000, 0.000]]}